Below is an optimized crystal structure of In3Br2F, with properties calculated at the PBE level.

Calculated values
Formation energy without anion corrections (eV per atom): -0.98

Structure (CIF):
```
data_In3Br2F
_space_group_name_H-M_alt 'P n m a'
_space_group_IT_number 62
_cell_length_a 12.637
_cell_length_b 4.506
_cell_length_c 13.674
_cell_angle_alpha 90.00
_cell_angle_beta 90.00
_cell_angle_gamma 90.00
loop_
_space_group_symop_operation_xyz
'x,y,z'
'-x,-y,-z'
'-x+1/2,-y,z+1/2'
'x+1/2,y,-z+1/2'
'x+1/2,-y+1/2,-z+1/2'
'-x+1/2,y+1/2,z+1/2'
'-x,y+1/2,-z'
'x,-y+1/2,z'
loop_
_atom_site_label
_atom_site_type_symbol
_atom_site_fract_x
_atom_site_fract_y
_atom_site_fract_z
_atom_site_occupancy
In1 In 0.081 0.250 0.082 1
In2 In 0.106 0.750 0.601 1
In3 In 0.223 0.750 0.307 1
Br1 Br 0.033 0.250 0.767 1
Br2 Br 0.242 0.750 0.996 1
F1 F 0.232 0.250 0.192 1
```

Below is an optimized crystal structure of KMoPd2, with properties calculated at the PBE level.

Calculated values
ΔE_f (meV per atom): 886
Energy above the lowest structure with this stoichiometry (meV/atom): 43

Structure (CIF):
```
data_KMoPd2
_space_group_name_H-M_alt 'I -4 2 d'
_space_group_IT_number 122
_space_group_name_Hall 'I -4 2bw'
_cell_length_a 7.631
_cell_length_b 7.631
_cell_length_c 6.333
_cell_angle_alpha 90.00
_cell_angle_beta 90.00
_cell_angle_gamma 90.00
loop_
_atom_site_label
_atom_site_type_symbol
_atom_site_fract_x
_atom_site_fract_y
_atom_site_fract_z
_atom_site_occupancy
K1 K 0.000 0.000 0.000 1
Mo1 Mo 0.000 0.000 0.500 1
Pd1 Pd 0.194 0.250 0.625 1
```

Below is an optimized crystal structure of Hg4Pb, with properties calculated at the PBE level.

Calculated values
ΔE_f (meV per atom): 31
Energy above the lowest structure with this stoichiometry (meV/atom): 0

Structure (CIF):
```
data_Hg4Pb
_space_group_name_H-M_alt 'I m m m'
_space_group_IT_number 71
_space_group_name_Hall '-I 2 2'
_cell_length_a 3.374
_cell_length_b 4.959
_cell_length_c 16.322
_cell_angle_alpha 90.00
_cell_angle_beta 90.00
_cell_angle_gamma 90.00
loop_
_atom_site_label
_atom_site_type_symbol
_atom_site_fract_x
_atom_site_fract_y
_atom_site_fract_z
_atom_site_occupancy
Hg1 Hg 0.000 0.000 0.103 1
Hg2 Hg 0.000 0.000 0.298 1
Pb1 Pb 0.000 0.000 0.500 1
```

Below is an optimized crystal structure of Li2NdZnHg4, with properties calculated at the PBE level.

Calculated values
ΔE_f (meV per atom): -308

Structure (CIF):
```
data_Li2NdZnHg4
_space_group_name_H-M_alt 'R -3 m'
_space_group_IT_number 166
_space_group_name_Hall '-R 3 2"'
_cell_length_a 4.6763
_cell_length_b 4.6763
_cell_length_c 27.4746
_cell_angle_alpha 90.00
_cell_angle_beta 90.00
_cell_angle_gamma 120.00
loop_
_atom_site_label
_atom_site_type_symbol
_atom_site_fract_x
_atom_site_fract_y
_atom_site_fract_z
_atom_site_occupancy
Li1 Li 0.0000 0.0000 0.2326 1
Nd1 Nd 0.0000 0.0000 0.0000 1
Zn1 Zn 0.0000 0.0000 0.5000 1
Hg1 Hg 0.0000 0.0000 0.1252 1
Hg2 Hg 0.0000 0.0000 0.3933 1
```

Record order is preserved below.
Total moment: 0.00, 11.07, 0.00, 0.00 μB per cell
Record order is preserved below.
DOS at the Fermi energy: 0.00, 0.76, 0.36, 0.42 states/eV per atom